1.
A relaxed DyHo3Mg6 crystal. Source: Alexandria, functional PBE.

POSCAR file:
```
DyHo3Mg6
1.0
5.2553 0.0000 0.0000
0.0000 8.8391 -2.6770
0.0000 0.2411 11.2129
Ho Mg Dy
6 12 2
Cartesian
1.3138 4.9047 2.9995
1.3138 6.6221 -1.9553
3.9415 5.7811 0.5470
3.9415 2.4582 10.4912
1.3138 3.2992 7.9889
3.9415 4.1756 5.5363
1.3138 0.6288 9.9674
1.3138 2.2790 4.8560
3.9415 5.1430 8.5897
1.3138 7.6365 1.0851
1.3138 3.9373 -0.0539
1.3138 6.0013 6.1547
3.9415 6.8013 3.6799
3.9415 8.4515 -1.4315
3.9415 7.7458 6.7422
1.3138 1.3345 1.7937
3.9415 1.4438 7.4508
3.9415 3.0790 2.3812
1.3138 8.5354 4.1989
3.9415 0.5448 4.3370
```

Output
Total moment, Bohr magnetons per cell: 0.00
Energy, eV per atom: -2.85
Formation energy from the elements, eV per atom: -0.06



2.
A relaxed LiMo2Cl6 crystal. Source: Alexandria, functional PBE.

POSCAR file:
```
LiMo2Cl6
1.0
4.8184 0.0000 0.0000
-2.4092 5.4343 -0.9489
0.0000 -2.9170 8.5118
Cl Mo Li
6 2 1
Cartesian
0.0000 0.6909 7.4471
2.4092 1.8263 0.1158
2.4092 2.9084 5.6386
0.0000 2.7543 2.2971
0.0000 -0.3911 1.9243
2.4092 -0.2370 5.2658
2.4092 1.1862 7.2767
0.0000 1.3311 0.2862
0.0000 -1.4585 4.2559
```

Output
Total moment, Bohr magnetons per cell: 2.08
Energy, eV per atom: -4.65



3.
A relaxed La4MgIr2 crystal. Source: Alexandria, functional PBE.

POSCAR file:
```
La4MgIr2
1.0
-7.8301 0.4913 -0.1430
-0.9614 -5.5652 5.4532
3.5947 8.5162 1.7080
Mg Ir La
2 4 8
Cartesian
2.4723 7.8678 2.3803
0.2381 0.8529 4.2377
-4.8373 -2.4343 5.1089
1.3612 4.3659 3.3103
-2.5595 4.6068 3.2372
-4.3553 0.3496 2.3796
-2.6041 -1.3609 3.6935
-2.1992 2.1935 1.8530
-0.6586 3.7997 5.2958
-0.4223 6.0448 2.0076
-4.4556 5.4152 1.1749
-4.6929 3.1641 4.4664
-6.1102 2.0627 1.0728
-6.5123 -1.4944 2.9107
```

Output
Total moment, Bohr magnetons per cell: 0.00
Energy, eV per atom: -5.99
Formation energy from the elements, eV per atom: -0.42



4.
A relaxed KFeI6 crystal. Source: Alexandria, functional PBE.

POSCAR file:
```
KFeI6
1.0
7.5291 0.0000 3.7007
3.7646 4.9227 1.8503
2.5305 0.0000 10.2026
I K Fe
6 1 1
Cartesian
9.8905 1.7501 11.8111
3.9337 3.1726 3.9425
7.6983 1.7501 5.7928
4.6114 0.0000 3.8821
5.4483 0.0000 10.0211
6.1260 3.1726 9.9608
1.2653 0.0000 5.1013
0.0000 0.0000 0.0000
```

Output
Total moment, Bohr magnetons per cell: 3.87
Energy, eV per atom: -2.68



5.
A relaxed BeTcSe2 crystal. Source: Alexandria, functional PBE.

POSCAR file:
```
BeTcSe2
1.0
-5.0964 5.9989 -1.6262
-4.7743 4.4832 -4.6596
-6.9634 3.2464 -2.3616
Tc Be Se
1 1 2
Cartesian
-8.2293 6.7112 -4.2273
-12.5538 10.2380 -6.4487
-0.7753 0.6322 -0.3982
-3.6927 3.0115 -1.8969
```

Output
Total moment, Bohr magnetons per cell: 0.00
Energy, eV per atom: -5.39



6.
A relaxed La3YGa crystal. Source: Alexandria, functional PBE.

POSCAR file:
```
La3YGa
1.0
-5.4566 1.9412 0.1755
-0.8800 -2.9191 4.9273
1.7392 4.6135 3.0438
Y La Ga
1 3 1
Cartesian
0.0000 0.0000 0.0000
-2.7283 0.9706 0.0877
-0.4400 -1.4596 2.4636
0.8696 2.3067 1.5219
-2.2987 1.8178 4.0733
```

Output
Total moment, Bohr magnetons per cell: 0.00
Distance to the lowest polymorph of the same formula, meV per atom: 513.4
Energy, eV per atom: -4.18
Formation energy from the elements, eV per atom: 0.67



7.
A relaxed Cr2AgSe crystal. Source: Alexandria, functional PBE.

POSCAR file:
```
Cr2AgSe
1.0
5.1474 0.0000 0.0000
0.0000 5.1474 0.0000
2.5737 2.5737 7.4722
Cr Ag Se
4 2 2
Cartesian
1.5469 3.8606 1.8681
3.8606 4.1206 5.6042
3.6005 1.2869 1.8681
6.4343 6.1742 5.6042
5.1474 2.5737 3.7361
0.0000 0.0000 0.0000
2.5737 5.1474 3.7361
2.5737 2.5737 0.0000
```

Output
Total moment, Bohr magnetons per cell: 18.00
Energy, eV per atom: -5.76



8.
A relaxed LiHfAl crystal. Source: Alexandria, functional PBE.

POSCAR file:
```
LiHfAl
1.0
3.8462 0.0000 0.0000
0.0000 3.8462 0.0000
0.0000 0.0000 7.0378
Al Li Hf
2 2 2
Cartesian
0.0000 0.0000 3.5189
1.9231 1.9231 3.5189
0.0000 1.9231 1.8486
1.9231 0.0000 5.1892
1.9231 0.0000 0.9788
0.0000 1.9231 6.0591
```

Output
Total moment, Bohr magnetons per cell: 0.00
Distance to the lowest polymorph of the same formula, meV per atom: 257.9
Energy, eV per atom: -5.12
Formation energy from the elements, eV per atom: 0.08



9.
A relaxed Cu2Pd3Pt7 crystal. Source: Alexandria, functional PBE.

POSCAR file:
```
Cu2Pd3Pt7
1.0
-0.9029 0.7971 2.4523
-2.0373 -4.5336 0.7234
9.9666 -7.5130 6.1114
Pd Pt Cu
3 7 2
Cartesian
4.7910 -8.9696 4.6793
-1.4701 -1.8683 1.5879
3.1383 -3.0769 2.1555
5.8973 -10.1143 6.9805
0.5790 -3.8154 1.4532
1.1291 -1.1352 2.3066
3.0873 -6.7846 4.8637
0.0000 0.0000 0.0000
3.9391 -4.4650 4.4234
7.3503 -8.2312 5.3816
5.4947 -6.2973 5.5917
1.5317 -4.9522 3.6954
```

Output
Total moment, Bohr magnetons per cell: 0.00
Energy, eV per atom: -5.52
Formation energy from the elements, eV per atom: -0.01



10.
A relaxed TmThS2N crystal. Source: Alexandria, functional PBE.

POSCAR file:
```
TmThS2N
1.0
3.9400 0.0000 0.0000
0.0000 3.9400 0.0000
0.0000 0.0000 13.8402
Tm S N Th
2 4 2 2
Cartesian
0.0000 1.9700 12.2464
1.9700 0.0000 1.5937
0.0000 1.9700 9.7482
1.9700 0.0000 4.0919
1.9700 0.0000 12.5856
0.0000 1.9700 1.2545
0.0000 0.0000 6.9201
1.9700 1.9700 6.9201
0.0000 1.9700 5.6806
1.9700 0.0000 8.1596
```

Output
Total moment, Bohr magnetons per cell: 0.00
Energy, eV per atom: -7.64



11.
A relaxed Tl3Ge2Se5 crystal. Source: Alexandria, functional PBE.

POSCAR file:
```
Tl3Ge2Se5
1.0
7.5067 0.0000 0.0000
3.7534 10.4388 3.2588
3.7534 5.9121 9.1997
Tl Ge Se
6 4 10
Cartesian
11.2601 10.3838 6.8248
5.6300 0.0000 0.0000
1.8767 0.0000 0.0000
7.5067 7.0152 4.2581
3.7534 5.9670 5.6337
7.5067 9.3356 8.2004
7.5067 2.8249 2.5173
11.2601 13.1742 10.4028
7.5067 13.5259 9.9412
3.7534 3.1767 2.0556
7.5067 5.0614 6.7002
5.6300 8.1754 6.2292
7.5067 11.2894 5.7583
9.3834 8.1754 6.2292
5.6300 4.2317 3.2243
9.3834 12.1192 9.2342
9.3834 4.2317 3.2243
11.2601 8.5477 9.3565
3.7534 7.8031 3.1019
5.6300 12.1192 9.2342
```

Output
Total moment, Bohr magnetons per cell: 0.00
Energy, eV per atom: -3.54



12.
A relaxed LiDyTlIr crystal. Source: Alexandria, functional PBE.

POSCAR file:
```
LiDyTlIr
1.0
4.7998 0.0000 0.0000
2.3999 4.1568 0.0000
2.3999 1.3856 3.9190
Li Ir Dy Tl
1 1 1 1
Cartesian
2.3999 1.3856 0.9798
7.1997 4.1568 2.9393
0.0000 0.0000 0.0000
4.7998 2.7712 1.9595
```

Output
Total moment, Bohr magnetons per cell: 0.00
Energy, eV per atom: -4.79
Formation energy from the elements, eV per atom: -0.35